# GGA-PBE CaPaCo2, optimized geometry
# Energy of formation: -0.60 eV per formula unit
# Calculated volume: 19.4 A^3/atom
data_CaPaCo2
_symmetry_space_group_name_H-M 'P 4/m m m'
_symmetry_Int_Tables_number 123
_symmetry_space_group_name_Hall '-P 4 2'
_cell_length_a 3.3253
_cell_length_b 3.3253
_cell_length_c 7.0200
_cell_angle_alpha 90.00
_cell_angle_beta 90.00
_cell_angle_gamma 90.00
loop_
_atom_site_label
_atom_site_type_symbol
_atom_site_fract_x
_atom_site_fract_y
_atom_site_fract_z
Ca1 Ca 0.0000 0.0000 0.0000
Pa1 Pa 0.0000 0.0000 0.5000
Co1 Co 0.5000 0.5000 0.3119



# GGA-PBE Be4NiRu, optimized geometry
# Energy relative to the lowest polymorph listed for this composition: 0.000 eV per atom
# Energy of formation: -1.85 eV per formula unit
# Calculated volume: 9.1 A^3/atom
data_Be4NiRu
_symmetry_space_group_name_H-M 'F -4 3 m'
_symmetry_Int_Tables_number 216
_symmetry_space_group_name_Hall 'F -4 2 3'
_cell_length_a 6.0175
_cell_length_b 6.0175
_cell_length_c 6.0175
_cell_angle_alpha 90.00
_cell_angle_beta 90.00
_cell_angle_gamma 90.00
loop_
_atom_site_label
_atom_site_type_symbol
_atom_site_fract_x
_atom_site_fract_y
_atom_site_fract_z
Be1 Be 0.1249 0.1249 0.1249
Ni1 Ni 0.0000 0.0000 0.5000
Ru1 Ru 0.2500 0.2500 0.7500



# GGA-PBE Rb2Ti3Cl9, optimized geometry
# E_form (uncorrected): -1.65 eV per atom
# Calculated volume: 29.4 A^3/atom
data_Rb2Ti3Cl9
_symmetry_space_group_name_H-M 'C 1 2/m 1'
_symmetry_Int_Tables_number 12
_cell_length_a 10.6357
_cell_length_b 17.3522
_cell_length_c 9.8444
_cell_angle_alpha 90.00
_cell_angle_beta 115.18
_cell_angle_gamma 90.00
loop_
_symmetry_equiv_pos_as_xyz
'x,y,z'
'-x,-y,-z'
'-x,y,-z'
'x,-y,z'
'x+1/2,y+1/2,z'
'-x+1/2,-y+1/2,-z'
'-x+1/2,y+1/2,-z'
'x+1/2,-y+1/2,z'
loop_
_atom_site_label
_atom_site_type_symbol
_atom_site_fract_x
_atom_site_fract_y
_atom_site_fract_z
Rb1 Rb 0.1019 0.1635 0.3117
Ti1 Ti 0.1356 0.5000 0.8719
Ti2 Ti 0.1454 0.4126 0.1485
Cl1 Cl 0.0000 0.3076 0.0000
Cl2 Cl 0.0154 0.4047 0.2978
Cl3 Cl 0.1926 0.0000 0.6748
Cl4 Cl 0.2018 0.1901 0.6795
Cl5 Cl 0.2102 0.1012 0.9839
Cl6 Cl 0.2309 0.0000 0.2778



# GGA-PBE TeAs2Br, optimized geometry
# E_form (uncorrected): 0.11 eV per atom
# Energy relative to the lowest polymorph listed for this composition: 0.146 eV per atom
# Calculated volume: 28.8 A^3/atom
data_TeAs2Br
_symmetry_space_group_name_H-M 'P 1 2/m 1'
_symmetry_Int_Tables_number 10
_cell_length_a 5.1668
_cell_length_b 4.0045
_cell_length_c 5.8759
_cell_angle_alpha 90.00
_cell_angle_beta 108.79
_cell_angle_gamma 90.00
loop_
_symmetry_equiv_pos_as_xyz
'x,y,z'
'-x,-y,-z'
'-x,y,-z'
'x,-y,z'
loop_
_atom_site_label
_atom_site_type_symbol
_atom_site_fract_x
_atom_site_fract_y
_atom_site_fract_z
Te1 Te 0.0000 0.0000 0.0000
As1 As 0.4235 0.5000 0.1672
Br1 Br 0.0000 0.0000 0.5000



# GGA-PBE Cs3Y2Br8, optimized geometry
# E_form (uncorrected): -1.71 eV per atom
# Calculated volume: 47.3 A^3/atom
data_Cs3Y2Br8
_symmetry_space_group_name_H-M 'R -3 m'
_symmetry_Int_Tables_number 166
_symmetry_space_group_name_Hall '-R 3 2"'
_cell_length_a 8.6627
_cell_length_b 8.6627
_cell_length_c 28.3632
_cell_angle_alpha 90.00
_cell_angle_beta 90.00
_cell_angle_gamma 120.00
loop_
_atom_site_label
_atom_site_type_symbol
_atom_site_fract_x
_atom_site_fract_y
_atom_site_fract_z
Cs1 Cs 0.0000 0.0000 0.0000
Cs2 Cs 0.0000 0.0000 0.2095
Y1 Y 0.0000 0.0000 0.4308
Br1 Br 0.0000 0.0000 0.3336
Br2 Br 0.0267 0.5134 0.7729



# GGA-PBE SmDyCu4, optimized geometry
# Energy relative to the lowest polymorph listed for this composition: 0.000 eV per atom
# Energy of formation: -1.52 eV per formula unit
# Calculated volume: 18.3 A^3/atom
data_SmDyCu4
_symmetry_space_group_name_H-M 'I m m 2'
_symmetry_Int_Tables_number 44
_cell_length_a 4.3085
_cell_length_b 6.9250
_cell_length_c 7.3724
_cell_angle_alpha 90.00
_cell_angle_beta 90.00
_cell_angle_gamma 90.00
loop_
_symmetry_equiv_pos_as_xyz
'x,y,z'
'-x,-y,z'
'-x,y,z'
'x,-y,z'
'x+1/2,y+1/2,z+1/2'
'-x+1/2,-y+1/2,z+1/2'
'-x+1/2,y+1/2,z+1/2'
'x+1/2,-y+1/2,z+1/2'
loop_
_atom_site_label
_atom_site_type_symbol
_atom_site_fract_x
_atom_site_fract_y
_atom_site_fract_z
Sm1 Sm 0.0000 0.0000 0.0000
Dy1 Dy 0.0000 0.5000 0.9156
Cu1 Cu 0.0000 0.1966 0.6202
Cu2 Cu 0.0000 0.3001 0.2907



# GGA-PBE CrIn2Rh, optimized geometry
# Energy relative to the lowest polymorph listed for this composition: 0.273 eV per atom
# Energy of formation: 0.89 eV per formula unit
# Calculated volume: 18.9 A^3/atom
data_CrIn2Rh
_symmetry_space_group_name_H-M 'R 3 m'
_symmetry_Int_Tables_number 160
_symmetry_space_group_name_Hall 'R 3 -2"'
_cell_length_a 3.1114
_cell_length_b 3.1114
_cell_length_c 26.9920
_cell_angle_alpha 90.00
_cell_angle_beta 90.00
_cell_angle_gamma 120.00
loop_
_atom_site_label
_atom_site_type_symbol
_atom_site_fract_x
_atom_site_fract_y
_atom_site_fract_z
Cr1 Cr 0.0000 0.0000 0.0000
In1 In 0.0000 0.0000 0.2482
In2 In 0.0000 0.0000 0.4814
Rh1 Rh 0.0000 0.0000 0.7327



# GGA-PBE LaMgPCl2, optimized geometry
# E_form (uncorrected): -0.89 eV per atom
# Energy relative to the lowest polymorph listed for this composition: 0.425 eV per atom
# Calculated volume: 34.4 A^3/atom
data_LaMgPCl2
_symmetry_space_group_name_H-M 'P 4/m m m'
_symmetry_Int_Tables_number 123
_symmetry_space_group_name_Hall '-P 4 2'
_cell_length_a 5.4264
_cell_length_b 5.4264
_cell_length_c 5.8458
_cell_angle_alpha 90.00
_cell_angle_beta 90.00
_cell_angle_gamma 90.00
loop_
_atom_site_label
_atom_site_type_symbol
_atom_site_fract_x
_atom_site_fract_y
_atom_site_fract_z
La1 La 0.0000 0.0000 0.0000
Mg1 Mg 0.5000 0.5000 0.5000
P1 P 0.0000 0.0000 0.5000
Cl1 Cl 0.0000 0.5000 0.0000